## Fe2IrPt2 (PBE-GGA)

Data for a relaxed Fe2IrPt2 crystal.

Summary:
For the calculated density, the calculation gives 16.26 g/cm3. The calculation puts the total energy at -38.42 eV/cell. The formation energy from the elements comes out at -110 meV per atom. For the energy above the most stable polymorph in this dataset, the calculation gives 0.000 eV per atom.

```
5
Lattice="-1.646 2.065 -0.674 -2.970 -2.124 0.746 2.371 2.262 6.572" Properties=species:S:1:pos:R:3 pbc="T T T"
Fe 0.012 0.432 1.281
Fe -2.258 1.771 5.363
Ir -2.308 -0.029 0.036
Pt -2.285 0.835 2.593
Pt 0.039 1.368 4.051
```


## CaTiV2 (PBE-GGA)

Data for a relaxed CaTiV2 crystal.

Summary:
For the calculated density, the calculation gives 3.42 g/cm3. The calculation puts the total energy at -47.55 eV/cell. The formation energy from the elements comes out at 1090 meV per atom. For the energy above the most stable polymorph in this dataset, the calculation gives 0.319 eV per atom.

```
8
Lattice="-4.151 1.465 0.600 -0.867 -0.693 -4.302 -5.293 -8.305 0.110" Properties=species:S:1:pos:R:3 pbc="T T T"
Ca -2.509 0.386 -1.851
Ca -4.334 -4.306 -3.021
V -5.064 -0.881 0.015
V -5.496 -1.228 -2.136
V -5.634 -5.766 -0.230
V -7.710 -5.034 0.070
Ti 0.000 0.000 0.000
Ti -5.976 -3.227 -0.570
```


Repeat the second record exactly.
## CaTiV2 (PBE-GGA)

Data for a relaxed CaTiV2 crystal.

Summary:
For the calculated density, the calculation gives 3.42 g/cm3. The calculation puts the total energy at -47.55 eV/cell. The formation energy from the elements comes out at 1090 meV per atom. For the energy above the most stable polymorph in this dataset, the calculation gives 0.319 eV per atom.

```
8
Lattice="-4.151 1.465 0.600 -0.867 -0.693 -4.302 -5.293 -8.305 0.110" Properties=species:S:1:pos:R:3 pbc="T T T"
Ca -2.509 0.386 -1.851
Ca -4.334 -4.306 -3.021
V -5.064 -0.881 0.015
V -5.496 -1.228 -2.136
V -5.634 -5.766 -0.230
V -7.710 -5.034 0.070
Ti 0.000 0.000 0.000
Ti -5.976 -3.227 -0.570
```